Entry 1:
K2RbHg2 | Alexandria via LeMat-Bulk | GGA-PBE | optimized geometry; DOS at the Fermi energy = 0.845 states/eV per atom; space group = P4/mbm (127); ΔE to the lowest computed polymorph = 0.000 eV per atom
1.0
9.444 0.000 0.000
0.000 9.444 0.000
0.000 0.000 5.130
Rb K Hg
2 4 4
direct
0.500 0.500 0.000
0.000 0.000 0.000
0.333 0.167 0.500
0.167 0.667 0.500
0.833 0.333 0.500
0.667 0.833 0.500
0.614 0.114 0.000
0.114 0.386 0.000
0.386 0.886 0.000
0.886 0.614 0.000

=====

Entry 2:
KRb3Hg3 | Alexandria via LeMat-Bulk | GGA-PBE | optimized geometry; DOS at the Fermi energy = 0.493 states/eV per atom; space group = C2/m (12); ΔE to the lowest computed polymorph = 0.000 eV per atom
1.0
-9.351 0.577 -0.518
-1.443 -0.295 8.496
1.502 8.479 -0.447
K Rb Hg
2 6 6
direct
0.923 0.800 0.200
0.077 0.200 0.800
0.500 0.196 0.196
0.000 0.710 0.710
0.000 0.290 0.290
0.500 0.804 0.804
0.532 0.688 0.312
0.468 0.312 0.688
0.240 0.975 0.459
0.760 0.459 0.975
0.228 0.912 0.088
0.760 0.025 0.541
0.240 0.541 0.025
0.772 0.088 0.912

=====

Entry 3:
K3RbHg6 | Alexandria via LeMat-Bulk | GGA-PBE | optimized geometry; DOS at the Fermi energy = 0.440 states/eV per atom; space group = R-3c (167)
1.0
9.413 -0.614 -1.692
-1.913 9.238 -1.692
-0.534 -0.614 9.549
Hg Rb K
12 2 6
direct
0.564 0.904 0.588
0.096 0.412 0.436
0.588 0.564 0.904
0.404 0.064 0.088
0.936 0.912 0.596
0.904 0.588 0.564
0.064 0.088 0.404
0.088 0.404 0.064
0.596 0.936 0.912
0.436 0.096 0.412
0.912 0.596 0.936
0.412 0.436 0.096
0.500 0.500 0.500
0.000 0.000 0.000
0.750 0.339 0.161
0.339 0.161 0.750
0.250 0.661 0.839
0.661 0.839 0.250
0.839 0.250 0.661
0.161 0.750 0.339

=====

Entry 4:
K10Rb6Hg | Alexandria via LeMat-Bulk | GGA-PBE | optimized geometry; DOS at the Fermi energy = 0.856 states/eV per atom; space group = P-31m (162)
1.0
8.633 0.000 0.000
0.000 11.352 -6.554
0.000 0.000 13.108
Rb K Hg
6 10 1
direct
0.748 0.602 0.000
0.252 0.398 0.000
0.252 0.000 0.398
0.748 0.398 0.398
0.252 0.602 0.602
0.748 0.000 0.602
0.249 0.221 0.221
0.500 0.667 0.333
0.751 0.000 0.221
0.000 0.667 0.333
0.500 0.333 0.667
0.751 0.221 0.000
0.000 0.333 0.667
0.249 0.779 0.000
0.751 0.779 0.779
0.249 0.000 0.779
0.500 0.000 0.000

=====

Entry 5:
KRb2Hg2 | Alexandria via LeMat-Bulk | GGA-PBE | optimized geometry; DOS at the Fermi energy = 0.796 states/eV per atom; space group = P4/mbm (127); ΔE to the lowest computed polymorph = 0.000 eV per atom
1.0
-0.553 4.648 -8.142
2.165 -7.873 -4.642
-5.321 -1.254 -0.354
Rb K Hg
4 2 4
direct
0.672 0.828 0.500
0.828 0.328 0.500
0.328 0.172 0.500
0.172 0.672 0.500
0.000 0.000 0.000
0.500 0.500 0.000
0.884 0.616 0.000
0.616 0.116 0.000
0.116 0.384 0.000
0.384 0.884 0.000

=====

Entry 6:
KRb5Hg | Alexandria via LeMat-Bulk | GGA-PBE | optimized geometry; DOS at the Fermi energy = 0.758 states/eV per atom; space group = C2/c (15); ΔE to the lowest computed polymorph = 0.035 eV per atom
1.0
8.353 0.012 -3.762
-5.859 10.657 -2.038
0.620 -0.244 12.313
Rb Hg K
10 2 2
direct
0.250 0.793 0.207
0.684 0.796 0.562
0.172 0.797 0.564
0.184 0.562 0.796
0.672 0.564 0.797
0.828 0.203 0.436
0.816 0.438 0.204
0.328 0.436 0.203
0.750 0.207 0.793
0.316 0.204 0.438
0.250 0.507 0.493
0.750 0.493 0.507
0.000 0.000 0.000
0.500 0.000 0.000

=====

Entry 7:
K3Rb6Hg | Alexandria via LeMat-Bulk | GGA-PBE | optimized geometry; DOS at the Fermi energy = 0.721 states/eV per atom; space group = P2_1/c (14)
1.0
6.830 0.000 -0.017
0.000 13.750 0.000
0.030 0.000 16.025
Rb Hg K
12 2 6
direct
0.500 0.148 0.952
0.500 0.444 0.275
0.000 0.743 0.880
0.000 0.352 0.452
0.000 0.648 0.548
0.000 0.257 0.120
0.000 0.944 0.225
0.500 0.852 0.048
0.500 0.556 0.725
0.000 0.056 0.775
0.500 0.243 0.620
0.500 0.757 0.380
0.500 0.500 0.500
0.000 0.000 0.000
0.000 0.000 0.500
0.500 0.500 0.000
0.500 0.123 0.333
0.500 0.877 0.667
0.000 0.377 0.833
0.000 0.623 0.167

=====

Entry 8:
K12Rb5Hg3 | Alexandria via LeMat-Bulk | GGA-PBE | optimized geometry; DOS at the Fermi energy = 0.630 states/eV per atom; space group = Ia-3d (230); ΔE to the lowest computed polymorph = 0.096 eV per atom
1.0
-11.889 15.902 -3.931
-11.064 -14.833 8.199
14.561 5.498 12.939
K Hg Rb
48 12 20
direct
0.383 0.134 0.544
0.589 0.251 0.134
0.749 0.338 0.883
0.838 0.956 0.089
0.411 0.749 0.866
0.411 0.662 0.044
0.544 0.634 0.383
0.749 0.411 0.366
0.089 0.456 0.838
0.044 0.883 0.134
0.956 0.838 0.589
0.911 0.544 0.162
0.251 0.589 0.634
0.662 0.411 0.544
0.838 0.883 0.249
0.366 0.911 0.749
0.383 0.249 0.338
0.251 0.662 0.117
0.662 0.251 0.617
0.456 0.366 0.617
0.544 0.911 0.662
0.634 0.089 0.251
0.911 0.366 0.249
0.866 0.617 0.956
0.162 0.117 0.751
0.338 0.589 0.456
0.117 0.956 0.366
0.338 0.749 0.383
0.883 0.838 0.749
0.751 0.617 0.162
0.617 0.866 0.456
0.883 0.044 0.634
0.634 0.544 0.883
0.589 0.338 0.956
0.456 0.089 0.338
0.089 0.634 0.751
0.751 0.134 0.089
0.134 0.751 0.589
0.162 0.044 0.911
0.117 0.162 0.251
0.249 0.866 0.911
0.044 0.162 0.411
0.134 0.383 0.044
0.956 0.117 0.866
0.249 0.383 0.838
0.366 0.456 0.117
0.866 0.249 0.411
0.617 0.751 0.662
0.125 0.875 0.750
0.875 0.125 0.250
0.250 0.625 0.875
0.375 0.625 0.250
0.250 0.125 0.375
0.375 0.750 0.625
0.625 0.250 0.375
0.625 0.375 0.750
0.750 0.375 0.125
0.875 0.750 0.125
0.750 0.875 0.625
0.125 0.250 0.875
0.375 0.250 0.125
0.750 0.625 0.375
0.500 0.000 0.000
0.375 0.125 0.750
0.000 0.500 0.500
0.500 0.500 0.500
0.000 0.500 0.000
0.500 0.500 0.000
0.000 0.000 0.000
0.125 0.750 0.375
0.125 0.375 0.250
0.000 0.000 0.500
0.500 0.000 0.500
0.625 0.875 0.250
0.250 0.875 0.125
0.875 0.250 0.625
0.625 0.750 0.875
0.250 0.375 0.625
0.750 0.125 0.875
0.875 0.625 0.750

=====

Entry 9:
KRb5Hg | Alexandria via LeMat-Bulk | GGA-PBE | optimized geometry; DOS at the Fermi energy = 1.034 states/eV per atom; space group = P4/mmm (123); ΔE to the lowest computed polymorph = 0.000 eV per atom
1.0
-6.491 0.717 -0.894
-1.070 -1.950 6.205
0.735 11.198 3.646
K Rb Hg
1 5 1
direct
0.000 0.000 0.000
0.000 0.500 0.684
0.500 0.000 0.684
0.500 0.000 0.316
0.000 0.500 0.316
0.500 0.500 0.000
0.000 0.000 0.500

=====

Entry 10:
K11RbHg5 | Alexandria via LeMat-Bulk | GGA-PBE | optimized geometry; DOS at the Fermi energy = 0.572 states/eV per atom; space group = C2/m (12)
1.0
7.919 1.327 -1.634
-3.359 9.843 -1.963
0.836 0.214 10.549
K Rb Hg
11 1 5
direct
0.320 0.344 0.861
0.385 0.674 0.674
0.680 0.656 0.139
0.873 0.804 0.538
0.127 0.196 0.462
0.680 0.139 0.656
0.615 0.326 0.326
0.500 0.000 0.000
0.873 0.538 0.804
0.320 0.861 0.344
0.127 0.462 0.196
0.000 0.000 0.000
0.000 0.500 0.500
0.253 0.002 0.695
0.253 0.695 0.002
0.747 0.998 0.305
0.747 0.305 0.998

=====

Entry 11:
KRb12Hg5 | Alexandria via LeMat-Bulk | GGA-PBE | optimized geometry; DOS at the Fermi energy = 0.711 states/eV per atom; space group = Immm (71)
1.0
-3.061 -3.370 -10.346
11.240 0.319 1.145
-3.376 -7.121 8.102
Rb Hg K
12 5 1
direct
0.310 0.320 0.630
0.690 0.680 0.370
0.195 0.979 0.783
0.459 0.179 0.280
0.899 0.179 0.720
0.195 0.412 0.217
0.101 0.821 0.280
0.310 0.680 0.990
0.690 0.320 0.010
0.805 0.021 0.217
0.541 0.821 0.720
0.805 0.588 0.783
0.500 0.890 0.390
0.000 0.000 0.000
0.378 0.378 0.000
0.622 0.622 0.000
0.500 0.110 0.610
0.000 0.500 0.500

=====

Entry 12:
K3Rb4Hg | Alexandria via LeMat-Bulk | GGA-PBE | optimized geometry; DOS at the Fermi energy = 0.760 states/eV per atom; space group = Pmm2 (25); ΔE to the lowest computed polymorph = 0.000 eV per atom
1.0
4.999 0.000 0.000
0.000 6.843 0.000
0.000 0.000 16.683
Rb K Hg
4 3 1
direct
0.500 0.000 0.684
0.500 0.500 0.293
0.000 0.500 0.873
0.000 0.000 0.149
0.500 0.000 0.948
0.000 0.500 0.573
0.000 0.000 0.424
0.500 0.500 0.057

=====

Entry 13:
KRb7Hg3 | Alexandria via LeMat-Bulk | GGA-PBE | optimized geometry; DOS at the Fermi energy = 0.801 states/eV per atom; space group = P3m1 (156); ΔE to the lowest computed polymorph = 0.007 eV per atom
1.0
8.857 0.000 0.000
0.000 9.649 0.000
0.000 -4.825 8.357
Rb K Hg
7 1 3
direct
0.064 0.158 0.842
0.064 0.158 0.317
0.558 0.834 0.667
0.558 0.333 0.166
0.998 0.667 0.333
0.558 0.834 0.166
0.064 0.683 0.842
0.438 0.333 0.667
0.771 0.448 0.552
0.771 0.448 0.896
0.771 0.104 0.552

=====

Entry 14:
KRb7Hg4 | Alexandria via LeMat-Bulk | GGA-PBE | optimized geometry; DOS at the Fermi energy = 0.542 states/eV per atom; space group = C2/m (12)
1.0
6.842 0.000 2.015
3.186 10.770 1.805
0.940 0.283 9.431
Hg Rb K
4 7 1
direct
0.464 0.757 0.315
0.673 0.668 0.986
0.327 0.332 0.014
0.536 0.243 0.685
0.919 0.385 0.777
0.081 0.615 0.223
0.215 0.118 0.451
0.676 0.372 0.276
0.324 0.628 0.724
0.785 0.882 0.549
0.500 0.000 0.000
0.000 0.000 0.000

=====

Entry 15:
KRbHg2 | Alexandria via LeMat-Bulk | GGA-PBE | optimized geometry; DOS at the Fermi energy = 0.570 states/eV per atom; space group = Pm (6); ΔE to the lowest computed polymorph = 0.000 eV per atom
1.0
5.035 0.000 -0.026
0.000 5.248 0.000
-2.463 0.000 6.500
Rb K Hg
1 1 2
direct
0.729 0.000 0.998
0.440 0.500 0.418
0.145 0.500 0.829
0.018 0.000 0.573

=====

Entry 16:
K3Rb4Hg4 | Alexandria via LeMat-Bulk | GGA-PBE | optimized geometry; DOS at the Fermi energy = 0.427 states/eV per atom; space group = Immm (71)
1.0
5.015 0.000 -1.099
-0.862 10.617 -3.932
-0.111 -1.827 11.486
K Hg Rb
3 4 4
direct
0.000 0.500 0.000
0.112 0.112 0.223
0.888 0.888 0.777
0.751 0.251 0.503
0.500 0.865 0.000
0.249 0.749 0.497
0.500 0.135 0.000
0.661 0.468 0.323
0.339 0.532 0.677
0.661 0.855 0.323
0.339 0.145 0.677

=====

Entry 17:
KRbHg2 | Alexandria via LeMat-Bulk | GGA-PBE | optimized geometry; DOS at the Fermi energy = 0.675 states/eV per atom; space group = P4/mmm (123); ΔE to the lowest computed polymorph = 0.043 eV per atom
1.0
-2.323 1.799 3.171
-0.724 -5.524 2.604
5.135 0.868 3.270
K Hg Rb
1 2 1
direct
0.500 0.500 0.500
0.000 0.000 0.500
0.000 0.500 0.000
0.500 0.000 0.000

=====

Entry 18:
KRbHg4 | Alexandria via LeMat-Bulk | GGA-PBE | optimized geometry; DOS at the Fermi energy = 0.351 states/eV per atom; space group = P6/mmm (191); ΔE to the lowest computed polymorph = 0.000 eV per atom
1.0
5.455 0.000 0.000
-2.728 4.724 0.000
0.000 0.000 8.253
Hg Rb K
4 1 1
direct
0.333 0.667 0.217
0.667 0.333 0.783
0.333 0.667 0.783
0.667 0.333 0.217
0.000 0.000 0.500
0.000 0.000 0.000

=====

| no. | energy relative to the elements (kJ per mole of atoms) |
| --- | --- |
| 1 | -18.7 |
| 2 | -17.0 |
| 3 | -21.1 |
| 4 | 0.5 |
| 5 | -18.6 |
| 6 | -0.9 |
| 7 | -2.4 |
| 8 | 9.0 |
| 9 | -4.3 |
| 10 | -12.5 |
| 11 | -12.1 |
| 12 | -1.8 |
| 13 | -9.7 |
| 14 | -10.1 |
| 15 | -23.1 |
| 16 | -15.0 |
| 17 | -18.9 |
| 18 | -25.8 |